Computed, not measured: a geometry-optimized ZrI3Cl structure at the PBE-GGA level of DFT.

The energy above the most stable polymorph in this dataset comes out at 0.000 eV/atom. The value obtained for the density is 3.808 g cm⁻³. For the total energy, the calculation gives -4.067 eV/atom. The calculation puts the formation energy (no corrections) at -5.29 eV per formula unit.

It has space group Immm (No. 71), with a = 8.317 Å, b = 9.906 Å, c = 10.744 Å, α = 90.00°, β = 90.00° and γ = 90.00°. Symmetry generates all atoms from Zr at (0.000, 0.000, 0.000), Zr at (0.000, 0.500, 0.500), I at (0.000, 0.219, 0.500), I at (0.250, 0.000, 0.194) and Cl at (0.000, 0.242, 0.000).